# Sc2OsPt

A relaxed structure of Sc2OsPt (GGA-PBEsol, Alexandria via LeMat-Bulk).

Cell: 3.239 3.239 6.300 Å, 90.00 90.00 90.00°
Fractional positions:
Sc 0.000 0.000 0.242
Sc 0.000 0.000 0.758
Os 0.500 0.500 0.000
Pt 0.500 0.500 0.500

Properties
- energy of formation from the pure elements (eV/atom) = -0.870
- total magnetic moment (Bohr magnetons per cell) = 0.0
- DOS at the Fermi energy (states/eV/f.u.) = 0.8
- V (Å³ per cell) = 66